[1]
Compound: AcTbPm2Y
Source: Alexandria
Functional: PBE
Structure: optimized geometry

VASP energy	-4.59	eV/atom

POSCAR file:
```
AcTbPm2Y
1.0
4.254 -6.107 0.000
4.254 6.107 0.000
0.000 0.000 7.328
Ac Tb Pm Y
2 2 4 2
Cartesian
4.254 3.118 5.496
4.254 -3.118 1.832
4.254 2.423 1.832
4.254 -2.423 5.496
2.614 0.000 0.000
2.614 0.000 3.664
5.893 0.000 0.000
5.893 0.000 3.664
4.254 5.568 1.832
4.254 -5.568 5.496
```

***

[2]
Compound: HfMnIrAu
Source: Alexandria
Functional: PBE
Structure: optimized geometry

VASP energy	-8.19	eV/atom

POSCAR file:
```
HfMnIrAu
1.0
6.494 0.000 0.000
0.000 6.494 0.000
0.000 0.000 6.494
Hf Mn Ir Au
4 4 4 4
Cartesian
0.000 0.000 0.000
0.000 3.247 3.247
3.247 0.000 3.247
3.247 3.247 0.000
0.000 0.000 3.247
0.000 3.247 0.000
3.247 0.000 0.000
3.247 3.247 3.247
1.624 1.624 4.871
1.624 4.871 1.624
4.871 1.624 1.624
4.871 4.871 4.871
1.624 1.624 1.624
1.624 4.871 4.871
4.871 1.624 4.871
4.871 4.871 1.624
```

***

[3]
Compound: Cs2LiCaS
Source: Alexandria
Functional: PBE
Structure: optimized geometry

ΔE_f (raw)	0.49	eV/atom

POSCAR file:
```
Cs2LiCaS
1.0
7.272 0.000 0.000
0.000 7.272 0.000
0.000 0.000 5.775
Cs Li Ca S
2 1 1 1
Cartesian
0.000 3.636 0.000
3.636 0.000 0.000
0.000 0.000 2.887
0.000 0.000 0.000
3.636 3.636 2.887
```